Model a:
Material: NdSm2Ga2
Method: DFT, PBE
State: optimized geometry

a b c (Å): 7.7961 7.7961 4.4855
angles (deg): 90.00 90.00 90.00
Space group P4/mbm (No. 127)
One atom of each set of equivalent atoms:
Nd (0.0000, 0.0000, 0.0000) x2
Sm (0.1741, 0.3259, 0.5000) x4
Ga (0.1175, 0.6175, 0.0000) x4

Model b:
Material: NdSm2Ga2
Method: DFT, PBE
State: optimized geometry

a b c (Å): 5.8917 4.0583 12.3986
angles (deg): 90.00 99.29 90.00
Space group P2_1/m (No. 11)
One atom of each set of equivalent atoms:
Nd (0.0375, 0.2500, 0.2887) x2
Sm (0.2672, 0.7500, 0.0618) x2
Sm (0.4189, 0.2500, 0.6301) x2
Ga (0.1378, 0.7500, 0.4811) x2
Ga (0.2079, 0.2500, 0.8694) x2

Which of them is the most stable? Correct choice: model a.

Model a:
Material: NdSm3Ga
Method: DFT, PBE
State: optimized geometry

a b c (Å): 3.7485 8.6362 9.8731
angles (deg): 76.59 79.08 89.97
Space group P-1 (No. 2)
One atom of each set of equivalent atoms:
Nd (0.0954, 0.0438, 0.3114) x2
Sm (0.3034, 0.1847, 0.8945) x2
Sm (0.3150, 0.6155, 0.8684) x2
Sm (0.4984, 0.3022, 0.4998) x2
Ga (0.1032, 0.5669, 0.2939) x2

Model b:
Material: NdSm3Ga
Method: DFT, PBE
State: optimized geometry

a b c (Å): 12.1183 9.1354 7.8377
angles (deg): 90.00 130.28 90.00
Space group C2/m (No. 12)
One atom of each set of equivalent atoms:
Nd (0.0581, 0.0000, 0.3334) x4
Sm (0.0629, 0.5000, 0.2676) x4
Sm (0.2292, 0.3098, 0.7656) x8
Ga (0.2477, 0.5000, 0.1202) x4

Which of them is the most stable? Correct choice: model a.

Model a:
Material: NdSm3Ga2
Method: DFT, PBE
State: optimized geometry

a b c (Å): 5.1241 9.6698 6.6799
angles (deg): 90.00 90.00 90.00
Space group Pmc2_1 (No. 26)
One atom of each set of equivalent atoms:
Nd (0.0000, 0.0516, 0.0000) x2
Sm (0.0000, 0.3293, 0.6555) x2
Sm (0.5000, 0.1742, 0.2950) x2
Sm (0.5000, 0.4464, 0.9517) x2
Ga (0.0000, 0.3539, 0.1859) x2
Ga (0.5000, 0.1474, 0.7633) x2

Model b:
Material: NdSm3Ga2
Method: DFT, PBE
State: optimized geometry

a b c (Å): 4.6285 9.1137 9.1475
angles (deg): 112.87 90.06 104.71
Space group P-1 (No. 2)
One atom of each set of equivalent atoms:
Nd (0.1188, 0.2377, 0.1455) x2
Sm (0.0452, 0.0928, 0.6914) x2
Sm (0.3200, 0.6388, 0.0696) x2
Sm (0.3518, 0.7032, 0.5231) x2
Ga (0.2288, 0.4575, 0.7079) x2
Ga (0.4991, 0.9984, 0.8582) x2

Which of them is the most stable? Correct choice: model a.

Model a:
Material: NdSm2Ga6
Method: DFT, PBE
State: optimized geometry

a b c (Å): 7.3774 7.3774 4.2587
angles (deg): 90.00 90.00 120.00
Space group P6/mmm (No. 191)
One atom of each set of equivalent atoms:
Nd (0.0000, 0.0000, 0.0000) x1
Sm (0.3333, 0.6667, 0.0000) x2
Ga (0.0000, 0.3339, 0.5000) x6

Model b:
Material: NdSm2Ga6
Method: DFT, PBE
State: optimized geometry

a b c (Å): 4.4063 7.1919 13.3934
angles (deg): 90.00 90.00 90.00
Space group Immm (No. 71)
One atom of each set of equivalent atoms:
Nd (0.0000, 0.0000, 0.0000) x2
Sm (0.0000, 0.5000, 0.1291) x4
Ga (0.0000, 0.1838, 0.5000) x4
Ga (0.0000, 0.3089, 0.3198) x8

Which of them is the most stable? Correct choice: model a.